Here is crystalline LiThCrO4 at its relaxed geometry from Alexandria via LeMat-Bulk. Energies are from PBE+U.

Cell: 6.1575 7.4963 8.8119 Å, 90.00 90.00 90.00°
With the nearest neighbours (Å) after each atom.
Space group Imma (No. 74)
Unique sites:
Li  0.0000  0.2500  0.0790 [4 per cell]  2 O 1.87
Th  0.0000  0.0000  0.5000 [4 per cell]  6 O 2.28-2.34
Cr  0.2500  0.2500  0.7500 [4 per cell]  6 O 2.06-2.08
O  0.0000  0.0669  0.7529 [8 per cell]  2 Cr 2.06, 1 Th 2.28
O  0.2279  0.2500  0.5146 [8 per cell]  1 Li 1.87, 1 Cr 2.08

Output
- DFT total energy (eV/atom) = -7.85
- N(E_F) (states/eV per cell) = 0.000